Entry 1:
# Tb2NdDy5Tm GGA-PBE optimized geometry
data_Tb2NdDy5Tm
_chemical_formula_sum 'Tb4 Nd2 Dy10 Tm2'
_cell_length_a 9.682
_cell_length_b 9.682
_cell_length_c 9.682
_cell_angle_alpha 125.00
_cell_angle_beta 125.00
_cell_angle_gamma 81.54
_symmetry_space_group_name_H-M 'P 1'
_symmetry_Int_Tables_number 1
loop_
_symmetry_equiv_pos_as_xyz
'x,y,z'
loop_
_atom_site_label
_atom_site_fract_x
_atom_site_fract_y
_atom_site_fract_z
Tb1 0.113 0.613 0.725
Tb2 0.387 0.113 0.500
Tb3 0.613 0.887 0.500
Tb4 0.887 0.387 0.275
Nd1 0.250 0.250 0.000
Nd2 0.750 0.750 0.000
Dy1 0.000 0.000 0.000
Dy2 0.073 0.162 0.500
Dy3 0.162 0.662 0.089
Dy4 0.338 0.427 0.500
Dy5 0.427 0.927 0.089
Dy6 0.500 0.500 0.000
Dy7 0.573 0.073 0.911
Dy8 0.662 0.573 0.500
Dy9 0.838 0.338 0.911
Dy10 0.927 0.838 0.500
Tm1 0.250 0.750 0.500
Tm2 0.750 0.250 0.500
# Magnetic moment = 0.000 μB/atom
# Calculated formation energy = 0.29 eV per atom
# V = 32.574 A^3/atom


Entry 2:
# Mg2In3Hg5 GGA-PBE optimized geometry
data_Mg2In3Hg5
_chemical_formula_sum 'Mg2 In3 Hg5'
_cell_length_a 4.704
_cell_length_b 4.704
_cell_length_c 13.579
_cell_angle_alpha 91.78
_cell_angle_beta 91.78
_cell_angle_gamma 58.82
_symmetry_space_group_name_H-M 'P 1'
_symmetry_Int_Tables_number 1
loop_
_symmetry_equiv_pos_as_xyz
'x,y,z'
loop_
_atom_site_label
_atom_site_fract_x
_atom_site_fract_y
_atom_site_fract_z
Mg1 0.166 0.166 0.188
Mg2 0.834 0.834 0.812
In1 0.172 0.172 0.615
In2 0.500 0.500 0.000
In3 0.828 0.828 0.385
Hg1 0.167 0.167 0.895
Hg2 0.499 0.499 0.269
Hg3 0.500 0.500 0.500
Hg4 0.501 0.501 0.731
Hg5 0.833 0.833 0.105
# Magnetic moment = 0.000 μB/atom
# Calculated formation energy = -0.04 eV per atom
# V = 25.692 A^3/atom


Entry 3:
# Li2Tm2PaS6 GGA-PBE optimized geometry
data_Li2Tm2PaS6
_chemical_formula_sum 'Li2 Tm2 Pa1 S6'
_cell_length_a 6.782
_cell_length_b 6.782
_cell_length_c 6.567
_cell_angle_alpha 99.91
_cell_angle_beta 99.91
_cell_angle_gamma 119.92
_symmetry_space_group_name_H-M 'P 1'
_symmetry_Int_Tables_number 1
loop_
_symmetry_equiv_pos_as_xyz
'x,y,z'
loop_
_atom_site_label
_atom_site_fract_x
_atom_site_fract_y
_atom_site_fract_z
Li1 0.171 0.829 0.000
Li2 0.829 0.171 0.000
Tm1 0.335 0.665 0.500
Tm2 0.665 0.335 0.500
Pa1 0.000 0.000 0.500
S1 0.074 0.414 0.743
S2 0.247 0.247 0.256
S3 0.414 0.074 0.743
S4 0.586 0.926 0.257
S5 0.753 0.753 0.744
S6 0.926 0.586 0.257
# Magnetic moment = 0.094 μB/atom
# ΔE_f (raw) = -1.7562 eV/atom
# V = 22.343 A^3/atom


Entry 4:
# LiDyErZn GGA-PBE optimized geometry
data_LiDyErZn
_chemical_formula_sum 'Li1 Dy1 Er1 Zn1'
_cell_length_a 5.077
_cell_length_b 5.077
_cell_length_c 5.077
_cell_angle_alpha 60.00
_cell_angle_beta 60.00
_cell_angle_gamma 60.00
_symmetry_space_group_name_H-M 'P 1'
_symmetry_Int_Tables_number 1
loop_
_symmetry_equiv_pos_as_xyz
'x,y,z'
loop_
_atom_site_label
_atom_site_fract_x
_atom_site_fract_y
_atom_site_fract_z
Li1 0.000 0.000 0.000
Dy1 0.250 0.250 0.250
Er1 0.750 0.750 0.750
Zn1 0.500 0.500 0.500
# Magnetic moment = 0.000 μB/atom
# Calculated formation energy = -0.12 eV per atom
# V = 23.133 A^3/atom


Entry 5:
# BaAcO2 GGA-PBE optimized geometry
data_BaAcO2
_chemical_formula_sum 'Ba1 Ac1 O2'
_cell_length_a 3.317
_cell_length_b 3.317
_cell_length_c 6.701
_cell_angle_alpha 90.00
_cell_angle_beta 90.00
_cell_angle_gamma 90.00
_symmetry_space_group_name_H-M 'P 1'
_symmetry_Int_Tables_number 1
loop_
_symmetry_equiv_pos_as_xyz
'x,y,z'
loop_
_atom_site_label
_atom_site_fract_x
_atom_site_fract_y
_atom_site_fract_z
Ba1 0.000 0.000 0.000
Ac1 0.000 0.000 0.500
O1 0.500 0.500 0.276
O2 0.500 0.500 0.724
# Magnetic moment = 0.000 μB/atom
# ΔE_f (raw) = -2.0935 eV/atom
# Excess energy over the best structure of this formula in the dataset = 0.500 eV/atom
# V = 18.432 A^3/atom


Entry 6:
# Nb2GaRh9 GGA-PBE optimized geometry
data_Nb2GaRh9
_chemical_formula_sum 'Nb2 Ga1 Rh9'
_cell_length_a 3.899
_cell_length_b 3.899
_cell_length_c 11.593
_cell_angle_alpha 90.00
_cell_angle_beta 90.00
_cell_angle_gamma 90.00
_symmetry_space_group_name_H-M 'P 1'
_symmetry_Int_Tables_number 1
loop_
_symmetry_equiv_pos_as_xyz
'x,y,z'
loop_
_atom_site_label
_atom_site_fract_x
_atom_site_fract_y
_atom_site_fract_z
Nb1 0.000 0.000 0.172
Nb2 0.000 0.000 0.828
Ga1 0.000 0.000 0.500
Rh1 0.000 0.500 0.000
Rh2 0.000 0.500 0.335
Rh3 0.000 0.500 0.665
Rh4 0.500 0.000 0.000
Rh5 0.500 0.000 0.335
Rh6 0.500 0.000 0.665
Rh7 0.500 0.500 0.167
Rh8 0.500 0.500 0.500
Rh9 0.500 0.500 0.833
# Magnetic moment = 0.000 μB/atom
# Calculated formation energy = -0.46 eV per atom
# V = 14.685 A^3/atom


Entry 7:
# YHf3Be GGA-PBE optimized geometry
data_YHf3Be
_chemical_formula_sum 'Y1 Hf3 Be1'
_cell_length_a 4.849
_cell_length_b 4.849
_cell_length_c 4.849
_cell_angle_alpha 90.00
_cell_angle_beta 90.00
_cell_angle_gamma 90.00
_symmetry_space_group_name_H-M 'P 1'
_symmetry_Int_Tables_number 1
loop_
_symmetry_equiv_pos_as_xyz
'x,y,z'
loop_
_atom_site_label
_atom_site_fract_x
_atom_site_fract_y
_atom_site_fract_z
Y1 0.000 0.000 0.000
Hf1 0.000 0.500 0.500
Hf2 0.500 0.000 0.500
Hf3 0.500 0.500 0.000
Be1 0.500 0.500 0.500
# Magnetic moment = 0.340 μB/atom
# Excess energy over the best structure of this formula in the dataset = 0.000 eV/atom
# Calculated formation energy = 0.37 eV per atom
# V = 22.802 A^3/atom


Entry 8:
# MgIn2W GGA-PBE optimized geometry
data_MgIn2W
_chemical_formula_sum 'Mg1 In2 W1'
_cell_length_a 2.931
_cell_length_b 5.265
_cell_length_c 5.199
_cell_angle_alpha 90.00
_cell_angle_beta 90.00
_cell_angle_gamma 90.00
_symmetry_space_group_name_H-M 'P 1'
_symmetry_Int_Tables_number 1
loop_
_symmetry_equiv_pos_as_xyz
'x,y,z'
loop_
_atom_site_label
_atom_site_fract_x
_atom_site_fract_y
_atom_site_fract_z
Mg1 0.000 0.000 0.000
In1 0.000 0.500 0.304
In2 0.500 0.000 0.521
W1 0.500 0.500 0.806
# Magnetic moment = 0.000 μB/atom
# Calculated formation energy = 0.40 eV per atom
# V = 20.058 A^3/atom


Entry 9:
# Li3Mg4Tl4 GGA-PBE optimized geometry
data_Li3Mg4Tl4
_chemical_formula_sum 'Li3 Mg4 Tl4'
_cell_length_a 3.318
_cell_length_b 4.348
_cell_length_c 17.323
_cell_angle_alpha 83.01
_cell_angle_beta 84.68
_cell_angle_gamma 89.94
_symmetry_space_group_name_H-M 'P 1'
_symmetry_Int_Tables_number 1
loop_
_symmetry_equiv_pos_as_xyz
'x,y,z'
loop_
_atom_site_label
_atom_site_fract_x
_atom_site_fract_y
_atom_site_fract_z
Li1 0.000 0.000 0.000
Li2 0.357 0.362 0.277
Li3 0.643 0.638 0.723
Mg1 0.098 0.089 0.817
Mg2 0.274 0.273 0.453
Mg3 0.726 0.727 0.547
Mg4 0.902 0.911 0.183
Tl1 0.182 0.181 0.639
Tl2 0.446 0.452 0.096
Tl3 0.554 0.548 0.904
Tl4 0.818 0.819 0.361
# Magnetic moment = 0.000 μB/atom
# Calculated formation energy = -0.11 eV per atom
# V = 22.453 A^3/atom


Entry 10:
# Sm3GePbCl GGA-PBE optimized geometry
data_Sm3GePbCl
_chemical_formula_sum 'Sm6 Ge2 Pb2 Cl2'
_cell_length_a 7.505
_cell_length_b 4.217
_cell_length_c 11.318
_cell_angle_alpha 90.00
_cell_angle_beta 101.77
_cell_angle_gamma 90.00
_symmetry_space_group_name_H-M 'P 1'
_symmetry_Int_Tables_number 1
loop_
_symmetry_equiv_pos_as_xyz
'x,y,z'
loop_
_atom_site_label
_atom_site_fract_x
_atom_site_fract_y
_atom_site_fract_z
Sm1 0.044 0.250 0.147
Sm2 0.272 0.250 0.504
Sm3 0.455 0.750 0.846
Sm4 0.545 0.250 0.154
Sm5 0.728 0.750 0.496
Sm6 0.956 0.750 0.853
Ge1 0.233 0.250 0.935
Ge2 0.767 0.750 0.065
Pb1 0.347 0.750 0.310
Pb2 0.653 0.250 0.690
Cl1 0.119 0.750 0.628
Cl2 0.881 0.250 0.372
# Magnetic moment = 0.000 μB/atom
# ΔE_f (raw) = -0.9488 eV/atom
# V = 29.225 A^3/atom


Entry 11:
# Zr2MnP GGA-PBE optimized geometry
data_Zr2MnP
_chemical_formula_sum 'Zr2 Mn1 P1'
_cell_length_a 4.500
_cell_length_b 4.500
_cell_length_c 4.500
_cell_angle_alpha 60.00
_cell_angle_beta 60.00
_cell_angle_gamma 60.00
_symmetry_space_group_name_H-M 'P 1'
_symmetry_Int_Tables_number 1
loop_
_symmetry_equiv_pos_as_xyz
'x,y,z'
loop_
_atom_site_label
_atom_site_fract_x
_atom_site_fract_y
_atom_site_fract_z
Zr1 0.000 0.000 0.000
Zr2 0.250 0.250 0.250
Mn1 0.750 0.750 0.750
P1 0.500 0.500 0.500
# Magnetic moment = 0.274 μB/atom
# Calculated formation energy = 0.03 eV per atom
# V = 16.110 A^3/atom


Entry 12:
# Pu2U3PaAs6 GGA-PBE optimized geometry
data_Pu2U3PaAs6
_chemical_formula_sum 'Pu2 U3 Pa1 As6'
_cell_length_a 7.068
_cell_length_b 7.068
_cell_length_c 7.152
_cell_angle_alpha 99.49
_cell_angle_beta 99.49
_cell_angle_gamma 119.95
_symmetry_space_group_name_H-M 'P 1'
_symmetry_Int_Tables_number 1
loop_
_symmetry_equiv_pos_as_xyz
'x,y,z'
loop_
_atom_site_label
_atom_site_fract_x
_atom_site_fract_y
_atom_site_fract_z
Pu1 0.166 0.834 0.000
Pu2 0.834 0.166 0.000
U1 0.000 0.000 0.500
U2 0.332 0.668 0.500
U3 0.668 0.332 0.500
Pa1 0.500 0.500 0.000
As1 0.085 0.416 0.747
As2 0.253 0.253 0.254
As3 0.416 0.085 0.747
As4 0.584 0.915 0.253
As5 0.747 0.747 0.746
As6 0.915 0.584 0.253
# Magnetic moment = 0.711 μB/atom
# Calculated formation energy = -0.87 eV per atom
# V = 24.362 A^3/atom


Which value of V does entry 9 give?
22.453 A^3/atom


Copy entry 2 word for word.
# Mg2In3Hg5 GGA-PBE optimized geometry
data_Mg2In3Hg5
_chemical_formula_sum 'Mg2 In3 Hg5'
_cell_length_a 4.704
_cell_length_b 4.704
_cell_length_c 13.579
_cell_angle_alpha 91.78
_cell_angle_beta 91.78
_cell_angle_gamma 58.82
_symmetry_space_group_name_H-M 'P 1'
_symmetry_Int_Tables_number 1
loop_
_symmetry_equiv_pos_as_xyz
'x,y,z'
loop_
_atom_site_label
_atom_site_fract_x
_atom_site_fract_y
_atom_site_fract_z
Mg1 0.166 0.166 0.188
Mg2 0.834 0.834 0.812
In1 0.172 0.172 0.615
In2 0.500 0.500 0.000
In3 0.828 0.828 0.385
Hg1 0.167 0.167 0.895
Hg2 0.499 0.499 0.269
Hg3 0.500 0.500 0.500
Hg4 0.501 0.501 0.731
Hg5 0.833 0.833 0.105
# Magnetic moment = 0.000 μB/atom
# Calculated formation energy = -0.04 eV per atom
# V = 25.692 A^3/atom